Record 1
SCAN LiCoH8C2O10, PBEsol geometry; energy = -316.0 eV for the cell shown; SG = No. 9
1.0
3.9912 -3.0158 0.0000
3.9912 3.0158 0.0000
-3.9655 0.0000 17.1638
Li Co H C O
2 2 16 4 20
direct
0.1949 0.8051 0.5000
0.8051 0.1949 0.0000
0.1142 0.5270 0.7496
0.5270 0.1142 0.2496
0.0713 0.4206 0.1324
0.1143 0.3171 0.5125
0.1709 0.8212 0.9240
0.2006 0.9202 0.6425
0.2260 0.6780 0.0005
0.2486 0.5475 0.3685
0.3171 0.1143 0.0125
0.3172 0.4392 0.5814
0.4206 0.0713 0.6324
0.4306 0.7530 0.3678
0.4392 0.3172 0.0814
0.5475 0.2486 0.8685
0.6780 0.2260 0.5005
0.7530 0.4306 0.8678
0.8212 0.1709 0.4240
0.9202 0.2006 0.1425
0.1769 0.9717 0.7868
0.4639 0.6740 0.2127
0.6740 0.4639 0.7127
0.9717 0.1769 0.2868
0.0390 0.8865 0.7207
0.1391 0.8576 0.9797
0.2081 0.2373 0.3041
0.2373 0.2081 0.8041
0.2590 0.7790 0.8326
0.2716 0.4139 0.5242
0.2919 0.7239 0.3966
0.3395 0.9128 0.6080
0.3839 0.8645 0.1671
0.4113 0.4323 0.1935
0.4139 0.2716 0.0242
0.4323 0.4113 0.6935
0.5949 0.7587 0.2801
0.7239 0.2919 0.8966
0.7587 0.5949 0.7801
0.7790 0.2590 0.3326
0.8576 0.1391 0.4797
0.8645 0.3839 0.6671
0.8865 0.0390 0.2207
0.9128 0.3395 0.1080



Record 2
SCAN CoH9C3N6, PBEsol geometry; energy = -276.3 eV for the cell shown; SG = No. 148
1.0
5.4386 3.1400 3.5963
-5.4386 3.1400 3.5963
0.0000 -6.2799 3.5963
Co H C N
2 18 6 12
direct
0.0000 0.0000 0.0000
0.5000 0.5000 0.5000
0.1573 0.4267 0.3503
0.1961 0.6428 0.4686
0.2588 0.2642 0.6019
0.2642 0.6019 0.2588
0.3503 0.1573 0.4267
0.3572 0.5314 0.8039
0.3981 0.7412 0.7358
0.4267 0.3503 0.1573
0.4686 0.1961 0.6428
0.5314 0.8039 0.3572
0.5733 0.6497 0.8427
0.6019 0.2588 0.2642
0.6428 0.4686 0.1961
0.6497 0.8427 0.5733
0.7358 0.3981 0.7412
0.7412 0.7358 0.3981
0.8039 0.3572 0.5314
0.8427 0.5733 0.6497
0.0509 0.8740 0.7781
0.1260 0.2219 0.9491
0.2219 0.9491 0.1260
0.7781 0.0509 0.8740
0.8740 0.7781 0.0509
0.9491 0.1260 0.2219
0.0790 0.7894 0.6372
0.2106 0.3628 0.9210
0.2562 0.5472 0.3825
0.3628 0.9210 0.2106
0.3825 0.2562 0.5472
0.4528 0.6175 0.7438
0.5472 0.3825 0.2562
0.6175 0.7438 0.4528
0.6372 0.0790 0.7894
0.7438 0.4528 0.6175
0.7894 0.6372 0.0790
0.9210 0.2106 0.3628



Record 3
SCAN CoH20PtC4N4O12, PBEsol geometry; energy = -345.4 eV for the cell shown; SG = No. 23
1.0
-3.5209 3.5277 7.4896
3.5209 -3.5277 7.4896
3.5209 3.5277 -7.4896
Co H Pt C N O
1 20 1 4 4 12
direct
0.0000 0.0000 0.0000
0.1123 0.5298 0.8143
0.1141 0.2848 0.5928
0.1959 0.3678 0.8777
0.2845 0.4702 0.5825
0.3025 0.9463 0.3605
0.3080 0.7152 0.8293
0.3085 0.7016 0.3794
0.3222 0.9292 0.6206
0.4142 0.0537 0.3562
0.4901 0.3182 0.1223
0.5099 0.6322 0.8281
0.5858 0.9421 0.6395
0.6778 0.2984 0.6069
0.6915 0.0708 0.3931
0.6920 0.5213 0.4072
0.6975 0.0579 0.6438
0.7155 0.2979 0.1857
0.8041 0.6818 0.1719
0.8859 0.4787 0.1707
0.8877 0.7021 0.4175
0.5000 0.5000 0.0000
0.1762 0.2933 0.1024
0.1910 0.0738 0.8976
0.8090 0.7067 0.8829
0.8238 0.9262 0.1171
0.1978 0.4097 0.7967
0.3870 0.5903 0.7881
0.6130 0.4011 0.2033
0.8022 0.5989 0.2119
0.1018 0.2977 0.1850
0.1127 0.9168 0.8150
0.2370 0.4477 0.1686
0.2790 0.0000 0.2790
0.2791 0.0685 0.8314
0.3558 0.8558 0.5000
0.6442 0.1442 0.5000
0.7210 0.0000 0.7210
0.7209 0.5523 0.7894
0.7630 0.9315 0.2106
0.8873 0.7023 0.8041
0.8982 0.0832 0.1959



Record 4
SCAN NaCoH2C3O7, PBEsol geometry; energy = -482.8 eV for the cell shown; SG = No. 14
1.0
5.8327 0.0000 0.0000
0.0000 15.3964 0.0000
-1.3934 0.0000 6.9245
Na Co H C O
4 4 8 12 28
direct
0.0264 0.1794 0.1870
0.0264 0.3206 0.6870
0.9736 0.6794 0.3130
0.9736 0.8206 0.8130
0.2184 0.1000 0.7900
0.2184 0.4000 0.2900
0.7816 0.6000 0.7100
0.7816 0.9000 0.2100
0.3417 0.0256 0.1341
0.3417 0.4744 0.6341
0.4545 0.1236 0.1403
0.4545 0.3764 0.6403
0.5455 0.6236 0.3597
0.5455 0.8764 0.8597
0.6583 0.5256 0.3659
0.6583 0.9744 0.8659
0.0044 0.5372 0.0710
0.0044 0.9628 0.5710
0.3079 0.6470 0.7131
0.3079 0.8530 0.2131
0.4543 0.7305 0.7492
0.4543 0.7695 0.2492
0.5457 0.2305 0.7508
0.5457 0.2695 0.2508
0.6921 0.1470 0.7869
0.6921 0.3530 0.2869
0.9956 0.0372 0.4290
0.9956 0.4628 0.9290
0.0881 0.6559 0.6774
0.0881 0.8441 0.1774
0.0955 0.1071 0.4932
0.0955 0.3929 0.9932
0.1105 0.5240 0.2436
0.1105 0.9760 0.7436
0.3125 0.0865 0.0857
0.3125 0.4135 0.5857
0.3346 0.2230 0.7707
0.3346 0.2770 0.2707
0.3612 0.7012 0.2960
0.3612 0.7988 0.7960
0.4245 0.5769 0.7194
0.4245 0.9231 0.2194
0.5755 0.0769 0.7806
0.5755 0.4231 0.2806
0.6388 0.2012 0.2040
0.6388 0.2988 0.7040
0.6654 0.7230 0.7293
0.6654 0.7770 0.2293
0.6875 0.5865 0.4143
0.6875 0.9135 0.9143
0.8895 0.0240 0.2564
0.8895 0.4760 0.7564
0.9045 0.6071 0.0068
0.9045 0.8929 0.5068
0.9119 0.1559 0.8226
0.9119 0.3441 0.3226



Record 5
SCAN Na2CoH8C2O10, PBEsol geometry; energy = -334.1 eV for the cell shown; SG = No. 15
1.0
4.2890 -3.5038 0.0000
4.2890 3.5038 0.0000
-1.9021 0.0000 14.0426
Na Co H C O
4 2 16 4 20
direct
0.0941 0.7439 0.5586
0.2561 0.9059 0.9414
0.7439 0.0941 0.0586
0.9059 0.2561 0.4414
0.4632 0.5368 0.7500
0.5368 0.4632 0.2500
0.0289 0.7034 0.3661
0.1496 0.7557 0.1290
0.2443 0.8504 0.3710
0.2540 0.3751 0.0637
0.2881 0.3959 0.9535
0.2966 0.9711 0.1339
0.3751 0.2540 0.5637
0.3959 0.2881 0.4535
0.6041 0.7119 0.5465
0.6249 0.7460 0.4363
0.7034 0.0289 0.8661
0.7119 0.6041 0.0465
0.7460 0.6249 0.9363
0.7557 0.1496 0.6290
0.8504 0.2443 0.8710
0.9711 0.2966 0.6339
0.0240 0.5316 0.7863
0.4684 0.9760 0.7137
0.5316 0.0240 0.2863
0.9760 0.4684 0.2137
0.0535 0.5486 0.6990
0.0898 0.8489 0.4008
0.1511 0.9102 0.0992
0.1827 0.4939 0.1841
0.2184 0.5361 0.8470
0.2891 0.3355 0.5073
0.3355 0.2891 0.0073
0.4514 0.9465 0.8010
0.4639 0.7816 0.6530
0.4939 0.1827 0.6841
0.5061 0.8173 0.3159
0.5361 0.2184 0.3470
0.5486 0.0535 0.1990
0.6645 0.7109 0.9927
0.7109 0.6645 0.4927
0.7816 0.4639 0.1530
0.8173 0.5061 0.8159
0.8489 0.0898 0.9008
0.9102 0.1511 0.5992
0.9465 0.4514 0.3010



Record 6
SCAN CoHCO4, PBEsol geometry; energy = -389.6 eV for the cell shown; SG = No. 176
1.0
9.5658 0.0000 0.0000
-4.7829 8.2842 0.0000
0.0000 0.0000 5.8226
Co H C O
6 6 6 24
direct
0.0000 0.5000 0.0000
0.0000 0.5000 0.5000
0.5000 0.0000 0.0000
0.5000 0.0000 0.5000
0.5000 0.5000 0.0000
0.5000 0.5000 0.5000
0.2059 0.5497 0.2500
0.3439 0.7941 0.2500
0.4503 0.6561 0.2500
0.5497 0.3439 0.7500
0.6561 0.2059 0.7500
0.7941 0.4503 0.7500
0.2030 0.4282 0.7500
0.2252 0.7970 0.7500
0.4282 0.2252 0.2500
0.5718 0.7748 0.7500
0.7748 0.2030 0.2500
0.7970 0.5718 0.2500
0.0957 0.6498 0.7500
0.1399 0.4197 0.5549
0.1399 0.4197 0.9451
0.1405 0.6059 0.2500
0.2798 0.8601 0.5549
0.2798 0.8601 0.9451
0.3502 0.4459 0.7500
0.3941 0.5346 0.2500
0.4197 0.2798 0.0549
0.4197 0.2798 0.4451
0.4459 0.0957 0.2500
0.4654 0.8595 0.2500
0.5346 0.1405 0.7500
0.5541 0.9043 0.7500
0.5803 0.7202 0.5549
0.5803 0.7202 0.9451
0.6059 0.4654 0.7500
0.6498 0.5541 0.2500
0.7202 0.1399 0.0549
0.7202 0.1399 0.4451
0.8595 0.3941 0.7500
0.8601 0.5803 0.0549
0.8601 0.5803 0.4451
0.9043 0.3502 0.2500



Record 7
SCAN CoH8C2O10, PBEsol geometry; energy = -302.1 eV for the cell shown; SG = No. 14
1.0
5.9466 0.0000 0.0000
0.0000 6.2254 0.0000
-4.3584 0.0000 10.3028
Co H C O
2 16 4 20
direct
0.0000 0.0000 0.0000
0.0000 0.5000 0.5000
0.1725 0.1130 0.8404
0.1725 0.3870 0.3404
0.1733 0.1887 0.4512
0.1733 0.3113 0.9512
0.2864 0.6914 0.0499
0.2864 0.8086 0.5499
0.4309 0.5872 0.6222
0.4309 0.9128 0.1222
0.5691 0.0872 0.8778
0.5691 0.4128 0.3778
0.7136 0.1914 0.4501
0.7136 0.3086 0.9501
0.8267 0.6887 0.0488
0.8267 0.8113 0.5488
0.8275 0.6130 0.6596
0.8275 0.8870 0.1596
0.2469 0.1330 0.6544
0.2469 0.3670 0.1544
0.7531 0.6330 0.8456
0.7531 0.8670 0.3456
0.0767 0.1815 0.8923
0.0767 0.3185 0.3923
0.1467 0.1781 0.1453
0.1467 0.3219 0.6453
0.2761 0.0453 0.5571
0.2761 0.4547 0.0571
0.2967 0.6426 0.5391
0.2967 0.8574 0.0391
0.3143 0.0386 0.7646
0.3143 0.4614 0.2646
0.6857 0.5386 0.7354
0.6857 0.9614 0.2354
0.7033 0.1426 0.9609
0.7033 0.3574 0.4609
0.7239 0.5453 0.9429
0.7239 0.9547 0.4429
0.8533 0.6781 0.3547
0.8533 0.8219 0.8547
0.9233 0.6815 0.6077
0.9233 0.8185 0.1077



Record 8
SCAN Rb2CoH8C2O10, PBEsol geometry; energy = -401.2 eV for the cell shown; SG = No. 14
1.0
7.0697 0.0000 0.0000
0.0000 6.3583 0.0000
-5.3128 0.0000 10.9085
Rb Co H C O
4 2 16 4 20
direct
0.2412 0.1461 0.3251
0.2412 0.3539 0.8251
0.7588 0.6461 0.1749
0.7588 0.8539 0.6749
0.0000 0.0000 0.0000
0.0000 0.5000 0.5000
0.2027 0.6995 0.9860
0.2027 0.8005 0.4860
0.2045 0.6551 0.3711
0.2045 0.8449 0.8711
0.2876 0.1755 0.5870
0.2876 0.3245 0.0870
0.4244 0.1103 0.1204
0.4244 0.3897 0.6204
0.5756 0.6103 0.3796
0.5756 0.8897 0.8796
0.7124 0.6755 0.9130
0.7124 0.8245 0.4130
0.7955 0.1551 0.1289
0.7955 0.3449 0.6289
0.7973 0.1995 0.5140
0.7973 0.3005 0.0140
0.2524 0.6518 0.1830
0.2524 0.8482 0.6830
0.7476 0.1518 0.3170
0.7476 0.3482 0.8170
0.1134 0.7103 0.4106
0.1134 0.7897 0.9106
0.1205 0.6947 0.6533
0.1205 0.8053 0.1533
0.2795 0.1682 0.0680
0.2795 0.3318 0.5680
0.3144 0.5743 0.1047
0.3144 0.9257 0.6047
0.3244 0.5716 0.2924
0.3244 0.9284 0.7924
0.6756 0.0716 0.2076
0.6756 0.4284 0.7076
0.6856 0.0743 0.3953
0.6856 0.4257 0.8953
0.7205 0.6682 0.4320
0.7205 0.8318 0.9320
0.8795 0.1947 0.8467
0.8795 0.3053 0.3467
0.8866 0.2103 0.0894
0.8866 0.2897 0.5894



Record 9
SCAN HfZrCoC2, PBEsol geometry; energy = -123.3 eV for the cell shown; SG = No. 123; E_form = 1.516 eV per atom
1.0
4.1654 0.0000 0.0000
0.0000 4.1654 0.0000
0.0000 0.0000 4.3979
Hf Zr Co C
1 1 1 2
direct
0.0000 0.0000 0.0000
0.5000 0.5000 0.5000
0.5000 0.5000 0.0000
0.0000 0.5000 0.5000
0.5000 0.0000 0.5000



Record 10
SCAN Co3HgC, PBEsol geometry; energy = -128.7 eV for the cell shown; SG = No. 221; E_form = 0.293 eV per atom
1.0
3.7999 0.0000 0.0000
0.0000 3.7999 0.0000
0.0000 0.0000 3.7999
Co Hg C
3 1 1
direct
0.0000 0.0000 0.5000
0.0000 0.5000 0.0000
0.5000 0.0000 0.0000
0.5000 0.5000 0.5000
0.0000 0.0000 0.0000



Number 1: theoretical density 2073 kg/m3. Number 2: theoretical density 1695 kg/m3. Number 3: theoretical density 2545 kg/m3. Number 4: theoretical density 2478 kg/m3. Number 5: theoretical density 2337 kg/m3. Number 6: theoretical density 2936 kg/m3. Number 7: theoretical density 2186 kg/m3. Number 8: theoretical density 2858 kg/m3. Number 9: theoretical density 7675 kg/m3. Number 10: theoretical density 11785 kg/m3.